A PBEsol-optimized structure of ZnAg4. Source: Alexandria via LeMat-Bulk, functional SCAN.

abc: 2.8755 3.8960 14.2795
angles: 90.00 90.00 90.00
Closest atoms and distances in Å follow each position.
Fractional positions:
1 Zn 0.0000 0.0000 0.0000  10 Ag 2.78-2.84, 2 Zn 2.88
2 Zn 0.5000 0.5000 0.5000  10 Ag 2.78-2.84, 2 Zn 2.88
3 Ag 0.0000 0.0000 0.1987  11 Ag 2.83-2.93, 1 Zn 2.84
4 Ag 0.0000 0.0000 0.4037  8 Ag 2.75-2.93, 4 Zn 2.78
5 Ag 0.0000 0.0000 0.5963  8 Ag 2.75-2.93, 4 Zn 2.78
6 Ag 0.0000 0.0000 0.8013  11 Ag 2.83-2.93, 1 Zn 2.84
7 Ag 0.5000 0.5000 0.0963  8 Ag 2.75-2.93, 4 Zn 2.78
8 Ag 0.5000 0.5000 0.3013  11 Ag 2.83-2.93, 1 Zn 2.84
9 Ag 0.5000 0.5000 0.6987  11 Ag 2.83-2.93, 1 Zn 2.84
10 Ag 0.5000 0.5000 0.9037  8 Ag 2.75-2.93, 4 Zn 2.78

Results
Energy in eV per atom: -27.7974
Formation enthalpy at 0 K in kcal/mol of atoms: -0.02
V in Å³ per cell: 160
Distance to the lowest polymorph of the same formula in eV/atom: 0.009